Entry 1:
# Ac3MgPd2O9 (PBE, relaxed)
data_Ac3MgPd2O9
_chemical_formula_sum 'Ac3 Mg1 Pd2 O9'
_cell_length_a 5.7217
_cell_length_b 5.7217
_cell_length_c 7.0205
_cell_angle_alpha 90.00
_cell_angle_beta 90.00
_cell_angle_gamma 120.00
_symmetry_space_group_name_H-M 'P -3 m 1'
_symmetry_Int_Tables_number 164
_symmetry_space_group_name_Hall '-P 3 2"'
loop_
_atom_site_label
_atom_site_type_symbol
_atom_site_fract_x
_atom_site_fract_y
_atom_site_fract_z
Ac1 Ac 0.0000 0.0000 0.0000
Ac2 Ac 0.3333 0.6667 0.6644
Mg1 Mg 0.0000 0.0000 0.5000
Pd1 Pd 0.3333 0.6667 0.1715
O1 O 0.0000 0.5000 0.0000
O2 O 0.1663 0.3325 0.3343
# Crystal system: trigonal
# DFT total energy (eV for the cell shown): -101.40
# Mass density (g/cm³): 8.861
# Magnetic moment (μB per formula unit): 0.000

=====

Entry 2:
# La6Pm12Ho (PBE, relaxed)
data_La6Pm12Ho
_chemical_formula_sum 'La18 Pm36 Ho3'
_cell_length_a 16.7017
_cell_length_b 16.7017
_cell_length_c 8.5171
_cell_angle_alpha 90.00
_cell_angle_beta 90.00
_cell_angle_gamma 120.00
_symmetry_space_group_name_H-M 'R -3 m'
_symmetry_Int_Tables_number 166
_symmetry_space_group_name_Hall '-R 3 2"'
loop_
_atom_site_label
_atom_site_type_symbol
_atom_site_fract_x
_atom_site_fract_y
_atom_site_fract_z
La1 La 0.0856 0.1712 0.1488
Pm1 Pm 0.0000 0.3778 0.0000
Pm2 Pm 0.0925 0.5463 0.3130
Ho1 Ho 0.0000 0.0000 0.5000
# Crystal system: trigonal
# DFT total energy (eV for the cell shown): -257.33
# Mass density (g/cm³): 6.630
# Magnetic moment (μB per formula unit): 0.000
# Formation enthalpy at 0 K (eV/atom): 0.28
# E above lowest polymorph (meV/atom): 162

=====

Entry 3:
# ScTl2Br (PBE, relaxed)
data_ScTl2Br
_chemical_formula_sum 'Sc1 Tl2 Br1'
_cell_length_a 5.514
_cell_length_b 5.514
_cell_length_c 3.525
_cell_angle_alpha 90.00
_cell_angle_beta 90.00
_cell_angle_gamma 90.00
_symmetry_space_group_name_H-M 'P 4/m m m'
_symmetry_Int_Tables_number 123
_symmetry_space_group_name_Hall '-P 4 2'
loop_
_atom_site_label
_atom_site_type_symbol
_atom_site_fract_x
_atom_site_fract_y
_atom_site_fract_z
Sc1 Sc 0.000 0.000 0.000
Tl1 Tl 0.000 0.500 0.500
Br1 Br 0.500 0.500 0.000
# Crystal system: tetragonal
# DFT total energy (eV for the cell shown): -13.75
# Mass density (g/cm³): 8.269
# Magnetic moment (μB per formula unit): 0.041
# E above lowest polymorph (meV/atom): 307

=====

Entry 4:
# Y11Mg9Co4 (PBE, relaxed)
data_Y11Mg9Co4
_chemical_formula_sum 'Y22 Mg18 Co8'
_cell_length_a 14.452
_cell_length_b 21.997
_cell_length_c 3.667
_cell_angle_alpha 90.00
_cell_angle_beta 90.00
_cell_angle_gamma 90.00
_symmetry_space_group_name_H-M 'C m m m'
_symmetry_Int_Tables_number 65
_symmetry_space_group_name_Hall '-C 2 2'
loop_
_atom_site_label
_atom_site_type_symbol
_atom_site_fract_x
_atom_site_fract_y
_atom_site_fract_z
Y1 Y 0.000 0.000 0.000
Y2 Y 0.000 0.157 0.000
Y3 Y 0.000 0.372 0.000
Y4 Y 0.190 0.500 0.000
Y5 Y 0.244 0.337 0.000
Mg1 Mg 0.000 0.500 0.500
Mg2 Mg 0.107 0.259 0.500
Mg3 Mg 0.147 0.071 0.500
Co1 Co 0.143 0.403 0.500
# Crystal system: orthorhombic
# DFT total energy (eV for the cell shown): -234.31
# Mass density (g/cm³): 4.081
# Magnetic moment (μB per formula unit): 0.607
# Formation enthalpy at 0 K (eV/atom): -0.14

=====

Entry 5:
# PuInIr (PBE, relaxed)
data_PuInIr
_chemical_formula_sum 'Pu4 In4 Ir4'
_cell_length_a 6.634
_cell_length_b 6.634
_cell_length_c 6.634
_cell_angle_alpha 90.00
_cell_angle_beta 90.00
_cell_angle_gamma 90.00
_symmetry_space_group_name_H-M 'F -4 3 m'
_symmetry_Int_Tables_number 216
_symmetry_space_group_name_Hall 'F -4 2 3'
loop_
_atom_site_label
_atom_site_type_symbol
_atom_site_fract_x
_atom_site_fract_y
_atom_site_fract_z
Pu1 Pu 0.000 0.000 0.000
In1 In 0.000 0.000 0.500
Ir1 Ir 0.250 0.250 0.250
# Crystal system: cubic
# DFT total energy (eV for the cell shown): -107.19
# Mass density (g/cm³): 12.537
# Magnetic moment (μB per formula unit): 5.293
# Formation enthalpy at 0 K (eV/atom): -0.29

=====

Entry 6:
# LaTbY14 (PBE, relaxed)
data_LaTbY14
_chemical_formula_sum 'La1 Tb1 Y14'
_cell_length_a 7.168
_cell_length_b 7.168
_cell_length_c 10.120
_cell_angle_alpha 90.00
_cell_angle_beta 90.00
_cell_angle_gamma 90.00
_symmetry_space_group_name_H-M 'P 4/m m m'
_symmetry_Int_Tables_number 123
_symmetry_space_group_name_Hall '-P 4 2'
loop_
_atom_site_label
_atom_site_type_symbol
_atom_site_fract_x
_atom_site_fract_y
_atom_site_fract_z
La1 La 0.000 0.000 0.000
Tb1 Tb 0.500 0.500 0.000
Y1 Y 0.000 0.000 0.500
Y2 Y 0.000 0.500 0.000
Y3 Y 0.000 0.500 0.500
Y4 Y 0.251 0.251 0.251
Y5 Y 0.500 0.500 0.500
# Crystal system: tetragonal
# DFT total energy (eV for the cell shown): -99.69
# Mass density (g/cm³): 4.926
# Magnetic moment (μB per formula unit): 0.000
# Formation enthalpy at 0 K (eV/atom): 0.02

=====

Entry 7:
# ErHfZnPd (PBE, relaxed)
data_ErHfZnPd
_chemical_formula_sum 'Er4 Hf4 Zn4 Pd4'
_cell_length_a 6.825
_cell_length_b 6.825
_cell_length_c 6.825
_cell_angle_alpha 90.00
_cell_angle_beta 90.00
_cell_angle_gamma 90.00
_symmetry_space_group_name_H-M 'F -4 3 m'
_symmetry_Int_Tables_number 216
_symmetry_space_group_name_Hall 'F -4 2 3'
loop_
_atom_site_label
_atom_site_type_symbol
_atom_site_fract_x
_atom_site_fract_y
_atom_site_fract_z
Er1 Er 0.000 0.000 0.000
Hf1 Hf 0.000 0.000 0.500
Zn1 Zn 0.250 0.250 0.250
Pd1 Pd 0.250 0.250 0.750
# Crystal system: cubic
# DFT total energy (eV for the cell shown): -90.71
# Mass density (g/cm³): 10.812
# Magnetic moment (μB per formula unit): 0.000
# Formation enthalpy at 0 K (eV/atom): -0.42

=====

Entry 8:
# MnZnP (PBE, relaxed)
data_MnZnP
_chemical_formula_sum 'Mn1 Zn1 P1'
_cell_length_a 3.7585
_cell_length_b 3.7585
_cell_length_c 3.2780
_cell_angle_alpha 90.00
_cell_angle_beta 90.00
_cell_angle_gamma 120.00
_symmetry_space_group_name_H-M 'P -6 m 2'
_symmetry_Int_Tables_number 187
_symmetry_space_group_name_Hall 'P -6 2'
loop_
_atom_site_label
_atom_site_type_symbol
_atom_site_fract_x
_atom_site_fract_y
_atom_site_fract_z
Mn1 Mn 0.0000 0.0000 0.0000
Zn1 Zn 0.3333 0.6667 0.5000
P1 P 0.6667 0.3333 0.0000
# Crystal system: hexagonal
# DFT total energy (eV for the cell shown): -15.96
# Mass density (g/cm³): 6.266
# Magnetic moment (μB per formula unit): 0.000
# Formation enthalpy at 0 K (eV/atom): -0.04

=====

Entry 9:
# ZrNpIrOs (PBE, relaxed)
data_ZrNpIrOs
_chemical_formula_sum 'Zr4 Np4 Ir4 Os4'
_cell_length_a 6.698
_cell_length_b 6.698
_cell_length_c 6.698
_cell_angle_alpha 90.00
_cell_angle_beta 90.00
_cell_angle_gamma 90.00
_symmetry_space_group_name_H-M 'F -4 3 m'
_symmetry_Int_Tables_number 216
_symmetry_space_group_name_Hall 'F -4 2 3'
loop_
_atom_site_label
_atom_site_type_symbol
_atom_site_fract_x
_atom_site_fract_y
_atom_site_fract_z
Zr1 Zr 0.000 0.000 0.000
Np1 Np 0.000 0.000 0.500
Ir1 Ir 0.250 0.250 0.750
Os1 Os 0.250 0.250 0.250
# Crystal system: cubic
# DFT total energy (eV for the cell shown): -170.46
# Mass density (g/cm³): 15.706
# Magnetic moment (μB per formula unit): 3.273
# Formation enthalpy at 0 K (eV/atom): -0.26

=====

Entry 10:
# Pm2Ga5Rh4 (PBE, relaxed)
data_Pm2Ga5Rh4
_chemical_formula_sum 'Pm8 Ga20 Rh16'
_cell_length_a 5.416
_cell_length_b 9.711
_cell_length_c 15.619
_cell_angle_alpha 90.00
_cell_angle_beta 90.00
_cell_angle_gamma 90.00
_symmetry_space_group_name_H-M 'F m m m'
_symmetry_Int_Tables_number 69
_symmetry_space_group_name_Hall '-F 2 2'
loop_
_atom_site_label
_atom_site_type_symbol
_atom_site_fract_x
_atom_site_fract_y
_atom_site_fract_z
Pm1 Pm 0.000 0.000 0.148
Ga1 Ga 0.000 0.000 0.500
Ga2 Ga 0.250 0.250 0.000
Ga3 Ga 0.250 0.250 0.250
Rh1 Rh 0.000 0.158 0.373
# Crystal system: orthorhombic
# DFT total energy (eV for the cell shown): -247.56
# Mass density (g/cm³): 8.492
# Magnetic moment (μB per formula unit): 0.000
# Formation enthalpy at 0 K (eV/atom): -0.71

=====

Entry 11:
# CaNdHo (PBE, relaxed)
data_CaNdHo
_chemical_formula_sum 'Ca2 Nd2 Ho2'
_cell_length_a 4.878
_cell_length_b 4.878
_cell_length_c 9.125
_cell_angle_alpha 90.00
_cell_angle_beta 90.00
_cell_angle_gamma 90.00
_symmetry_space_group_name_H-M 'P 4/n m m'
_symmetry_Int_Tables_number 129
loop_
_symmetry_equiv_pos_as_xyz
'x,y,z'
'-x,-y,-z'
'-y+1/2,x,z'
'y+1/2,-x,-z'
'-x+1/2,-y+1/2,z'
'x+1/2,y+1/2,-z'
'y,-x+1/2,z'
'-y,x+1/2,-z'
'x+1/2,-y,-z'
'-x+1/2,y,z'
'-y,-x,-z'
'y,x,z'
'-x,y+1/2,-z'
'x,-y+1/2,z'
'y+1/2,x+1/2,-z'
'-y+1/2,-x+1/2,z'
loop_
_atom_site_label
_atom_site_type_symbol
_atom_site_fract_x
_atom_site_fract_y
_atom_site_fract_z
Ca1 Ca 0.250 0.750 0.000
Nd1 Nd 0.250 0.250 0.319
Ho1 Ho 0.250 0.250 0.685
# Crystal system: tetragonal
# DFT total energy (eV for the cell shown): -20.59
# Mass density (g/cm³): 5.343
# Magnetic moment (μB per formula unit): 0.003
# Formation enthalpy at 0 K (eV/atom): 0.35
# E above lowest polymorph (meV/atom): 315

=====

Entry 12:
# AlZnP2 (PBE, relaxed)
data_AlZnP2
_chemical_formula_sum 'Al2 Zn2 P4'
_cell_length_a 3.612
_cell_length_b 5.209
_cell_length_c 6.949
_cell_angle_alpha 90.00
_cell_angle_beta 90.00
_cell_angle_gamma 90.00
_symmetry_space_group_name_H-M 'C m m m'
_symmetry_Int_Tables_number 65
_symmetry_space_group_name_Hall '-C 2 2'
loop_
_atom_site_label
_atom_site_type_symbol
_atom_site_fract_x
_atom_site_fract_y
_atom_site_fract_z
Al1 Al 0.000 0.000 0.000
Zn1 Zn 0.000 0.000 0.500
P1 P 0.000 0.500 0.243
# Crystal system: orthorhombic
# DFT total energy (eV for the cell shown): -29.95
# Mass density (g/cm³): 3.920
# Magnetic moment (μB per formula unit): 0.000
# Formation enthalpy at 0 K (eV/atom): 0.22
# E above lowest polymorph (meV/atom): 440

=====

| no. | V (Å³/cell) |
| --- | --- |
| 1 | 199.0 |
| 2 | 2057.5 |
| 3 | 107.2 |
| 4 | 1165.8 |
| 5 | 291.9 |
| 6 | 519.9 |
| 7 | 318.0 |
| 8 | 40.1 |
| 9 | 300.5 |
| 10 | 821.5 |
| 11 | 217.1 |
| 12 | 130.8 |